[1]
CuAgPd2Au4 | PBE | optimized geometry

Structure (extended XYZ):
```
8
Lattice="-3.4228 -2.1228 1.3989 1.4212 -3.5873 -1.9662 4.9236 -5.2744 4.0432" Properties=species:S:1:pos:R:3 pbc="T T T"
Cu 3.1724 -4.4309 1.0385
Ag -1.0008 -2.8551 -0.2836
Pd 4.9236 -5.2744 4.0432
Pd 0.7504 -3.6986 2.7210
Au 4.7236 -6.6254 1.5040
Au -1.8016 -4.3591 1.9719
Au 0.6201 -5.0822 0.3027
Au 2.3019 -5.9023 3.1733
```

Values from the calculation:
VASP energy	-3.87	eV/atom
DFT formation energy	-0.06	eV/atom
SG	No. 10
Fermi-level density of states	2.55	states/eV/cell

---

[2]
Cu2Ag2PdAu5 | PBE | optimized geometry

Structure (extended XYZ):
```
20
Lattice="4.1494 0.0000 0.0000 0.0000 9.1629 0.0000 0.0000 0.0000 9.1629" Properties=species:S:1:pos:R:3 pbc="T T T"
Cu 0.0000 1.1260 5.7075
Cu 0.0000 8.0369 3.4554
Cu 0.0000 5.7075 8.0369
Cu 0.0000 3.4554 1.1260
Ag 0.0000 6.1607 1.5793
Ag 0.0000 3.0021 7.5836
Ag 0.0000 1.5793 3.0021
Ag 0.0000 7.5836 6.1607
Pd 0.0000 0.0000 0.0000
Pd 0.0000 4.5814 4.5814
Au 2.0747 1.8336 0.7274
Au 2.0747 7.3293 8.4355
Au 2.0747 0.7274 7.3293
Au 2.0747 6.4151 3.8540
Au 2.0747 8.4355 1.8336
Au 2.0747 2.7478 5.3089
Au 2.0747 5.3089 6.4151
Au 2.0747 3.8540 2.7478
Au 2.0747 4.5814 0.0000
Au 2.0747 0.0000 4.5814
```

Values from the calculation:
VASP energy	-3.53	eV/atom
DFT formation energy	0.01	eV/atom
SG	No. 127
Fermi-level density of states	5.04	states/eV/cell

---

[3]
Cu2Ag2Pd5Au | PBE | optimized geometry

Structure (extended XYZ):
```
20
Lattice="4.0672 0.0000 0.0000 0.0000 8.9347 0.0000 0.0000 0.0000 8.9347" Properties=species:S:1:pos:R:3 pbc="T T T"
Cu 0.0000 1.0812 5.5485
Cu 0.0000 7.8535 3.3861
Cu 0.0000 5.5485 7.8535
Cu 0.0000 3.3861 1.0812
Ag 0.0000 6.0210 1.5537
Ag 0.0000 2.9136 7.3810
Ag 0.0000 1.5537 2.9136
Ag 0.0000 7.3810 6.0210
Pd 2.0336 1.8183 0.6889
Pd 2.0336 7.1164 8.2458
Pd 2.0336 0.6889 7.1164
Pd 2.0336 6.2857 3.7785
Pd 2.0336 8.2458 1.8183
Pd 2.0336 2.6490 5.1562
Pd 2.0336 5.1562 6.2857
Pd 2.0336 3.7785 2.6490
Pd 2.0336 4.4673 0.0000
Pd 2.0336 0.0000 4.4673
Au 0.0000 0.0000 0.0000
Au 0.0000 4.4673 4.4673
```

Values from the calculation:
VASP energy	-4.26	eV/atom
DFT formation energy	0.05	eV/atom
SG	No. 127
Fermi-level density of states	16.80	states/eV/cell

---

[4]
CuAgPd4Au2 | PBE | optimized geometry

Structure (extended XYZ):
```
8
Lattice="-2.8876 -3.2133 -0.9863 2.3743 -1.0303 -3.5946 5.9013 -5.2940 -0.0300" Properties=species:S:1:pos:R:3 pbc="T T T"
Cu 4.1378 -3.1622 -1.8123
Ag -0.2566 -2.1218 -2.2904
Pd 3.2773 -7.9063 -3.7459
Pd 2.1107 -1.6313 -0.8650
Pd 1.8524 -3.7513 -3.1563
Pd 3.5356 -5.7862 -1.4546
Au 5.9013 -5.2940 -0.0300
Au 1.5069 -4.2536 -0.5081
```

Values from the calculation:
VASP energy	-4.33	eV/atom
DFT formation energy	-0.04	eV/atom
SG	No. 10
Fermi-level density of states	8.27	states/eV/cell

---

What did the fourth record say?
CuAgPd4Au2 | PBE | optimized geometry

Structure (extended XYZ):
```
8
Lattice="-2.8876 -3.2133 -0.9863 2.3743 -1.0303 -3.5946 5.9013 -5.2940 -0.0300" Properties=species:S:1:pos:R:3 pbc="T T T"
Cu 4.1378 -3.1622 -1.8123
Ag -0.2566 -2.1218 -2.2904
Pd 3.2773 -7.9063 -3.7459
Pd 2.1107 -1.6313 -0.8650
Pd 1.8524 -3.7513 -3.1563
Pd 3.5356 -5.7862 -1.4546
Au 5.9013 -5.2940 -0.0300
Au 1.5069 -4.2536 -0.5081
```

Values from the calculation:
VASP energy	-4.33	eV/atom
DFT formation energy	-0.04	eV/atom
SG	No. 10
Fermi-level density of states	8.27	states/eV/cell